LaScHg: relaxed, GGA-PBE.

Output
* energy relative to the elements: -166 meV per atom
* density of states at the Fermi level: 4.37 states/eV per cell

Cell: 5.1189 6.5519 6.0957 Å, 63.51 115.03 90.17°
Positions (direct):
La1 0.1612 0.7336 0.7925
Hg1 0.4890 0.1009 0.4485
Sc1 0.5149 0.5567 0.5071
Sc2 0.1256 0.2630 0.7297
Hg2 0.8285 0.4221 0.1263
La2 0.8362 0.9240 0.1478



LaScHg: relaxed, GGA-PBE.

Output
* energy relative to the elements: -291 meV per atom
* density of states at the Fermi level: 3.36 states/eV per cell

Cell: 6.6689 5.3068 9.4718 Å, 90.00 90.00 90.00°
Positions (direct):
La1 0.1995 0.2500 0.4222
Sc1 0.5109 0.2500 0.7114
Sc2 0.0109 0.2500 0.7886
Hg1 0.7095 0.2500 0.4053
Hg2 0.2905 0.7500 0.5947
La2 0.8005 0.7500 0.5778
Sc3 0.4891 0.7500 0.2886
La3 0.3005 0.7500 0.9222
La4 0.6995 0.2500 0.0778
Hg3 0.2095 0.2500 0.0947
Hg4 0.7905 0.7500 0.9053
Sc4 0.9891 0.7500 0.2114



La2Sc2Hg: relaxed, GGA-PBE.

Output
* energy relative to the elements: 73 meV per atom
* density of states at the Fermi level: 8.16 states/eV per cell

Cell: 8.8603 8.8603 3.6267 Å, 90.00 90.00 90.00°
Positions (direct):
Sc1 0.6197 0.1197 0.0000
Hg1 0.0000 0.0000 0.0000
La1 0.1835 0.6835 0.5000
Sc2 0.3803 0.8803 0.0000
Sc3 0.1197 0.3803 0.0000
La2 0.3165 0.1835 0.5000
La3 0.6835 0.8165 0.5000
Hg2 0.5000 0.5000 0.0000
La4 0.8165 0.3165 0.5000
Sc4 0.8803 0.6197 0.0000



| no. | excess energy over the best structure of this formula in the dataset (meV per atom) |
| --- | --- |
| 1 | 175 |
| 2 | 50 |
| 3 | 0 |